Density functional theory data (GGA-PBE) for crystalline Nd6AlTl at its relaxed geometry.

abc: 4.9459 4.9459 9.9024
angles: 90.00 90.00 90.00
Sites, in units of the cell vectors:
Nd (0.0000, 0.0000, 0.0000)
Nd (0.0000, 0.0000, 0.5000)
Nd (0.0000, 0.5000, 0.2426)
Nd (0.0000, 0.5000, 0.7574)
Nd (0.5000, 0.0000, 0.2426)
Nd (0.5000, 0.0000, 0.7574)
Al (0.5000, 0.5000, 0.0000)
Tl (0.5000, 0.5000, 0.5000)

Results
The total magnetization comes out at 0.00 μB per cell. Its total energy is -4.526 eV per atom. The calculation puts the energy relative to the elements at -0.186 eV per atom.

***

Density functional theory data (GGA-PBE) for crystalline Ce2Dy4N at its relaxed geometry.

abc: 9.5085 9.5085 9.5085
angles: 151.06 151.06 41.38
Sites, in units of the cell vectors:
Ce (0.1795, 0.1795, 0.0000)
Ce (0.8205, 0.8205, 0.0000)
Dy (0.0000, 0.5000, 0.5000)
Dy (0.3675, 0.3675, 0.0000)
Dy (0.5000, 0.0000, 0.5000)
Dy (0.6325, 0.6325, 0.0000)
N (0.5000, 0.5000, 0.0000)

Results
The total magnetization comes out at 2.84 μB per cell. Its total energy is -5.676 eV per atom. The calculation puts the formation energy from raw total energies at -161 meV/atom.

***

Density functional theory data (GGA-PBE) for crystalline GaFeNiGe at its relaxed geometry.

abc: 4.1422 4.1422 4.1422
angles: 60.00 60.00 60.00
Sites, in units of the cell vectors:
Ga (0.0000, 0.0000, 0.0000)
Fe (0.7500, 0.7500, 0.7500)
Ni (0.2500, 0.2500, 0.2500)
Ge (0.5000, 0.5000, 0.5000)

Results
The total magnetization comes out at 1.34 μB per cell. Its total energy is -5.579 eV per atom. The calculation puts the energy relative to the elements at -0.107 eV per atom.

***

Density functional theory data (GGA-PBE) for crystalline YSnHPd2 at its relaxed geometry.

abc: 4.3795 4.3795 4.3190
angles: 90.00 90.00 90.00
Sites, in units of the cell vectors:
Y (0.0000, 0.0000, 0.0000)
Sn (0.5000, 0.5000, 0.0000)
H (0.0000, 0.0000, 0.5000)
Pd (0.0000, 0.5000, 0.5000)
Pd (0.5000, 0.0000, 0.5000)

Results
The total magnetization comes out at 0.00 μB per cell. Its total energy is -5.342 eV per atom.

***

Density functional theory data (GGA-PBE) for crystalline Mg2Bi2Pd7 at its relaxed geometry.

abc: 6.7901 6.7901 4.6515
angles: 95.41 95.41 77.91
Sites, in units of the cell vectors:
Mg (0.2254, 0.2254, 0.2712)
Mg (0.7746, 0.7746, 0.7288)
Bi (0.2852, 0.7148, 0.5000)
Bi (0.7148, 0.2852, 0.5000)
Pd (0.0662, 0.0662, 0.7739)
Pd (0.1171, 0.4577, 0.7717)
Pd (0.4577, 0.1171, 0.7717)
Pd (0.5000, 0.5000, 0.0000)
Pd (0.5423, 0.8829, 0.2283)
Pd (0.8829, 0.5423, 0.2283)
Pd (0.9338, 0.9338, 0.2261)

Results
The total magnetization comes out at 0.00 μB per cell. Its total energy is -4.612 eV per atom. The calculation puts the energy relative to the elements at -0.312 eV per atom.

***

Density functional theory data (GGA-PBE) for crystalline PmRhO4 at its relaxed geometry.

abc: 5.6930 5.6930 6.0974
angles: 105.59 105.59 101.47
Sites, in units of the cell vectors:
Pm (0.1302, 0.8698, 0.7500)
Pm (0.8698, 0.1302, 0.2500)
Rh (0.4933, 0.5067, 0.2500)
Rh (0.5067, 0.4933, 0.7500)
O (0.1997, 0.2115, 0.0996)
O (0.2115, 0.1997, 0.5996)
O (0.3300, 0.6307, 0.5024)
O (0.3693, 0.6700, 0.9976)
O (0.6307, 0.3300, 0.0024)
O (0.6700, 0.3693, 0.4976)
O (0.7885, 0.8003, 0.4004)
O (0.8003, 0.7885, 0.9004)

Results
The total magnetization comes out at 4.06 μB per cell. Its total energy is -7.043 eV per atom. As for the excess energy over the best structure of this formula in the dataset: 0.0 meV per atom. The calculation puts the formation energy from raw total energies at -1720 meV/atom.

***

Density functional theory data (GGA-PBE) for crystalline La5Nd8Sm at its relaxed geometry.

abc: 8.7043 8.7043 8.7043
angles: 111.15 111.15 106.17
Sites, in units of the cell vectors:
La (0.0000, 0.0000, 0.0000)
La (0.3182, 0.2125, 0.6793)
La (0.3612, 0.6818, 0.8944)
La (0.5332, 0.6388, 0.3207)
La (0.7875, 0.4668, 0.1056)
Nd (0.0300, 0.7766, 0.6009)
Nd (0.0598, 0.3186, 0.8938)
Nd (0.1757, 0.4291, 0.3991)
Nd (0.2234, 0.8243, 0.2534)
Nd (0.4248, 0.1660, 0.1062)
Nd (0.5709, 0.9700, 0.7466)
Nd (0.6814, 0.5752, 0.7412)
Nd (0.8340, 0.9402, 0.2588)
Sm (0.7500, 0.2500, 0.5000)

Results
The total magnetization comes out at 0.00 μB per cell. Its total energy is -4.610 eV per atom. The calculation puts the energy relative to the elements at 0.211 eV per atom.

***

Density functional theory data (GGA-PBE) for crystalline KSc2Tl at its relaxed geometry.

abc: 11.6653 11.6653 11.6653
angles: 17.32 17.32 17.32
Sites, in units of the cell vectors:
K (0.0000, 0.0000, 0.0000)
Sc (0.2338, 0.2338, 0.2338)
Sc (0.7662, 0.7662, 0.7662)
Tl (0.5000, 0.5000, 0.5000)

Results
The total magnetization comes out at 0.00 μB per cell. Its total energy is -3.788 eV per atom. As for the excess energy over the best structure of this formula in the dataset: 140.8 meV per atom. The calculation puts the energy relative to the elements at 0.244 eV per atom.